1.
# PBE NaRe3Br, optimized geometry
data_NaRe3Br
_chemical_formula_sum 'Na1 Re3 Br1'
_cell_length_a 4.664
_cell_length_b 4.664
_cell_length_c 4.664
_cell_angle_alpha 90.00
_cell_angle_beta 90.00
_cell_angle_gamma 90.00
_space_group_name_H-M_alt 'P m -3 m'
_space_group_IT_number 221
_space_group_name_Hall '-P 4 2 3'
loop_
_atom_site_label
_atom_site_type_symbol
_atom_site_fract_x
_atom_site_fract_y
_atom_site_fract_z
_atom_site_occupancy
Na1 Na 0.000 0.000 0.000 1
Re1 Re 0.000 0.000 0.500 1
Br1 Br 0.500 0.500 0.500 1
# Crystal system: cubic



2.
# PBE SrErGa2Au2, optimized geometry
data_SrErGa2Au2
_chemical_formula_sum 'Sr1 Er1 Ga2 Au2'
_cell_length_a 4.6083
_cell_length_b 4.6083
_cell_length_c 7.5405
_cell_angle_alpha 90.00
_cell_angle_beta 90.00
_cell_angle_gamma 120.00
_space_group_name_H-M_alt 'P -3 m 1'
_space_group_IT_number 164
_space_group_name_Hall '-P 3 2"'
loop_
_atom_site_label
_atom_site_type_symbol
_atom_site_fract_x
_atom_site_fract_y
_atom_site_fract_z
_atom_site_occupancy
Sr1 Sr 0.0000 0.0000 0.0000 1
Er1 Er 0.0000 0.0000 0.5000 1
Ga1 Ga 0.3333 0.6667 0.2954 1
Au1 Au 0.3333 0.6667 0.7015 1
# Crystal system: trigonal



3.
# PBE MnBiAuN, optimized geometry
data_MnBiAuN
_chemical_formula_sum 'Mn1 Bi1 Au1 N1'
_cell_length_a 4.530
_cell_length_b 3.022
_cell_length_c 6.177
_cell_angle_alpha 90.00
_cell_angle_beta 110.93
_cell_angle_gamma 90.00
_space_group_name_H-M_alt 'P 1 m 1'
_space_group_IT_number 6
loop_
_space_group_symop_operation_xyz
'x,y,z'
'x,-y,z'
loop_
_atom_site_label
_atom_site_type_symbol
_atom_site_fract_x
_atom_site_fract_y
_atom_site_fract_z
_atom_site_occupancy
Mn1 Mn 0.000 0.000 0.000 1
Bi1 Bi 0.765 0.500 0.514 1
Au1 Au 0.387 0.000 0.767 1
N1 N 0.070 0.500 0.154 1
# Crystal system: monoclinic



4.
# PBE ErCu4Pd7, optimized geometry
data_ErCu4Pd7
_chemical_formula_sum 'Er2 Cu8 Pd14'
_cell_length_a 12.175
_cell_length_b 4.855
_cell_length_c 7.780
_cell_angle_alpha 90.00
_cell_angle_beta 123.52
_cell_angle_gamma 90.00
_space_group_name_H-M_alt 'C 1 2/m 1'
_space_group_IT_number 12
loop_
_space_group_symop_operation_xyz
'x,y,z'
'-x,-y,-z'
'-x,y,-z'
'x,-y,z'
'x+1/2,y+1/2,z'
'-x+1/2,-y+1/2,-z'
'-x+1/2,y+1/2,-z'
'x+1/2,-y+1/2,z'
loop_
_atom_site_label
_atom_site_type_symbol
_atom_site_fract_x
_atom_site_fract_y
_atom_site_fract_z
_atom_site_occupancy
Er1 Er 0.000 0.000 0.000 1
Cu1 Cu 0.029 0.500 0.696 1
Cu2 Cu 0.192 0.500 0.358 1
Pd1 Pd 0.000 0.500 0.000 1
Pd2 Pd 0.067 0.000 0.408 1
Pd3 Pd 0.225 0.000 0.893 1
Pd4 Pd 0.233 0.500 0.705 1
# Crystal system: monoclinic



5.
# PBE InGa2Ag5, optimized geometry
data_InGa2Ag5
_chemical_formula_sum 'In4 Ga8 Ag20'
_cell_length_a 9.510
_cell_length_b 10.064
_cell_length_c 6.151
_cell_angle_alpha 90.00
_cell_angle_beta 90.00
_cell_angle_gamma 90.00
_space_group_name_H-M_alt 'P b a m'
_space_group_IT_number 55
loop_
_space_group_symop_operation_xyz
'x,y,z'
'-x,-y,-z'
'-x,-y,z'
'x,y,-z'
'x+1/2,-y+1/2,-z'
'-x+1/2,y+1/2,z'
'-x+1/2,y+1/2,-z'
'x+1/2,-y+1/2,z'
loop_
_atom_site_label
_atom_site_type_symbol
_atom_site_fract_x
_atom_site_fract_y
_atom_site_fract_z
_atom_site_occupancy
In1 In 0.237 0.089 0.000 1
Ga1 Ga 0.000 0.500 0.259 1
Ga2 Ga 0.231 0.094 0.500 1
Ag1 Ag 0.000 0.000 0.260 1
Ag2 Ag 0.011 0.743 0.000 1
Ag3 Ag 0.015 0.739 0.500 1
Ag4 Ag 0.241 0.341 0.257 1
# Crystal system: orthorhombic



6.
# PBE CrBSeN2, optimized geometry
data_CrBSeN2
_chemical_formula_sum 'Cr1 B1 Se1 N2'
_cell_length_a 3.260
_cell_length_b 3.260
_cell_length_c 6.731
_cell_angle_alpha 90.00
_cell_angle_beta 90.00
_cell_angle_gamma 90.00
_space_group_name_H-M_alt 'P 4/m m m'
_space_group_IT_number 123
_space_group_name_Hall '-P 4 2'
loop_
_atom_site_label
_atom_site_type_symbol
_atom_site_fract_x
_atom_site_fract_y
_atom_site_fract_z
_atom_site_occupancy
Cr1 Cr 0.000 0.000 0.000 1
B1 B 0.500 0.500 0.500 1
Se1 Se 0.500 0.500 0.000 1
N1 N 0.000 0.500 0.500 1
# Crystal system: tetragonal



Number 1: VASP energy -4.497 eV per atom. Number 2: VASP energy -3.890 eV per atom. Number 3: VASP energy -5.871 eV per atom. Number 4: VASP energy -4.873 eV per atom. Number 5: VASP energy -2.886 eV per atom. Number 6: VASP energy -6.241 eV per atom.